(1)
Si2POs: optimized geometry, PBE.

a = 4.633 Å, b = 4.633 Å, c = 5.334 Å
α = 70.87°, β = 70.87°, γ = 36.29°
Element x y z (fractional)
P (0.158, 0.158, 0.263)
Os (0.538, 0.538, 0.640)
Si (0.972, 0.972, 0.041)
Si (0.832, 0.832, 0.556)

Size of the total moment ... 0.00 μB per cell
Volume ... 15.90 A^3/atom
Mass density ... 7241 kg/m3
Space group ... No. 8
Energy relative to the elements, uncorrected ... 0.03 eV per atom
Fermi-level density of states ... 1.77 states/eV per cell

(2)
SiP2Os: optimized geometry, PBE.

a = 4.087 Å, b = 4.426 Å, c = 4.086 Å
α = 69.36°, β = 76.33°, γ = 110.64°
Element x y z (fractional)
Si (0.000, 0.500, 0.500)
P (0.500, 0.000, 0.500)
P (0.000, 0.000, 0.000)
Os (0.500, 0.500, 0.000)

Size of the total moment ... 0.00 μB per cell
Volume ... 14.75 A^3/atom
Mass density ... 7890 kg/m3
Space group ... No. 69
Energy relative to the elements, uncorrected ... 0.31 eV per atom
Fermi-level density of states ... 2.46 states/eV per cell

(3)
Si2SnPOs: optimized geometry, PBE.

a = 4.766 Å, b = 4.561 Å, c = 4.766 Å
α = 90.00°, β = 90.00°, γ = 90.00°
Element x y z (fractional)
P (0.000, 0.500, 0.000)
Sn (0.500, 0.500, 0.500)
Si (0.500, 0.000, 0.000)
Si (0.000, 0.000, 0.500)
Os (0.000, 0.000, 0.000)

Size of the total moment ... 0.00 μB per cell
Volume ... 20.72 A^3/atom
Mass density ... 6348 kg/m3
Space group ... No. 123
Energy relative to the elements, uncorrected ... 0.55 eV per atom
Fermi-level density of states ... 4.38 states/eV per cell

(4)
Sr2SiPOs: optimized geometry, PBE.

a = 5.743 Å, b = 4.443 Å, c = 5.743 Å
α = 90.00°, β = 90.00°, γ = 90.00°
Element x y z (fractional)
Os (0.000, 0.500, 0.000)
Sr (0.500, 0.000, 0.000)
Sr (0.000, 0.000, 0.500)
Si (0.000, 0.000, 0.000)
P (0.500, 0.500, 0.500)

Size of the total moment ... 0.00 μB per cell
Volume ... 29.31 A^3/atom
Mass density ... 4811 kg/m3
Space group ... No. 123
Energy relative to the elements, uncorrected ... 0.33 eV per atom
Fermi-level density of states ... 4.25 states/eV per cell

(5)
Si2POsW: optimized geometry, PBE.

a = 4.471 Å, b = 5.007 Å, c = 4.471 Å
α = 90.00°, β = 90.00°, γ = 90.00°
Element x y z (fractional)
Si (0.500, 0.000, 0.000)
Si (0.000, 0.000, 0.500)
W (0.000, 0.500, 0.000)
P (0.500, 0.500, 0.500)
Os (0.000, 0.000, 0.000)

Size of the total moment ... 0.04 μB per cell
Volume ... 20.02 A^3/atom
Mass density ... 7650 kg/m3
Space group ... No. 123
Energy relative to the elements, uncorrected ... 1.13 eV per atom
Fermi-level density of states ... 5.31 states/eV per cell

(6)
SmP2Os: optimized geometry, PBE.

a = 4.821 Å, b = 4.821 Å, c = 4.430 Å
α = 57.04°, β = 57.04°, γ = 60.00°
Element x y z (fractional)
P (0.234, 0.234, 0.298)
P (0.766, 0.766, 0.702)
Os (0.000, 0.000, 0.000)
Sm (0.500, 0.500, 0.500)

Formation energy from the elements ... -274 meV/atom
Size of the total moment ... 0.00 μB per cell
Volume ... 17.34 A^3/atom
Mass density ... 9635 kg/m3
Space group ... No. 166
Fermi-level density of states ... 2.80 states/eV per cell

(7)
Sn2POs2: optimized geometry, PBE.

a = 7.814 Å, b = 7.814 Å, c = 3.019 Å
α = 90.00°, β = 90.00°, γ = 90.00°
Element x y z (fractional)
Sn (0.350, 0.850, 0.000)
Sn (0.150, 0.350, 0.000)
Sn (0.850, 0.650, 0.000)
Sn (0.650, 0.150, 0.000)
Os (0.647, 0.853, 0.500)
Os (0.853, 0.353, 0.500)
Os (0.353, 0.147, 0.500)
Os (0.147, 0.647, 0.500)
P (0.500, 0.500, 0.000)
P (0.000, 0.000, 0.000)

Formation energy from the elements ... 843 meV/atom
Size of the total moment ... 0.00 μB per cell
Volume ... 18.43 A^3/atom
Mass density ... 11690 kg/m3
Space group ... No. 127
Fermi-level density of states ... 8.02 states/eV per cell

(8)
SnPOs2: optimized geometry, PBE.

a = 4.431 Å, b = 4.431 Å, c = 4.431 Å
α = 60.00°, β = 60.00°, γ = 60.00°
Element x y z (fractional)
P (0.000, 0.000, 0.000)
Os (0.250, 0.250, 0.250)
Os (0.750, 0.750, 0.750)
Sn (0.500, 0.500, 0.500)

Formation energy from the elements ... 506 meV/atom
Distance to the lowest polymorph of the same formula ... 0.0 kJ per mole of atoms
Size of the total moment ... 0.00 μB per cell
Volume ... 15.38 A^3/atom
Mass density ... 14311 kg/m3
Space group ... No. 225
Fermi-level density of states ... 2.00 states/eV per cell

(9)
SnPOs2: optimized geometry, PBE.

a = 5.812 Å, b = 5.812 Å, c = 6.552 Å
α = 63.67°, β = 63.67°, γ = 90.00°
Element x y z (fractional)
Os (0.181, 0.625, 0.250)
Os (0.875, 0.819, 0.750)
Os (0.569, 0.125, 0.250)
Os (0.375, 0.431, 0.750)
Sn (0.750, 0.250, 0.500)
Sn (0.000, 0.000, 0.000)
P (0.250, 0.750, 0.500)
P (0.500, 0.500, 0.000)

Formation energy from the elements ... 640 meV/atom
Distance to the lowest polymorph of the same formula ... 12.9 kJ per mole of atoms
Size of the total moment ... 0.00 μB per cell
Volume ... 21.54 A^3/atom
Mass density ... 10216 kg/m3
Space group ... No. 122
Fermi-level density of states ... 8.74 states/eV per cell

(10)
SnP3Os: optimized geometry, PBE.

a = 4.665 Å, b = 4.665 Å, c = 4.665 Å
α = 90.00°, β = 90.00°, γ = 90.00°
Element x y z (fractional)
P (0.000, 0.000, 0.500)
P (0.000, 0.500, 0.000)
P (0.500, 0.000, 0.000)
Os (0.000, 0.000, 0.000)
Sn (0.500, 0.500, 0.500)

Formation energy from the elements ... 624 meV/atom
Distance to the lowest polymorph of the same formula ... 0.0 kJ per mole of atoms
Size of the total moment ... 0.00 μB per cell
Volume ... 20.30 A^3/atom
Mass density ... 6575 kg/m3
Space group ... No. 221
Fermi-level density of states ... 5.72 states/eV per cell

(11)
Sr2SnPOs: optimized geometry, PBE.

a = 5.643 Å, b = 5.044 Å, c = 5.643 Å
α = 90.00°, β = 90.00°, γ = 90.00°
Element x y z (fractional)
P (0.500, 0.500, 0.500)
Os (0.000, 0.000, 0.000)
Sr (0.000, 0.000, 0.500)
Sr (0.500, 0.000, 0.000)
Sn (0.000, 0.500, 0.000)

Formation energy from the elements ... 281 meV/atom
Size of the total moment ... 0.55 μB per cell
Volume ... 32.13 A^3/atom
Mass density ... 5326 kg/m3
Space group ... No. 123
Fermi-level density of states ... 6.10 states/eV per cell

(12)
YSnPOs2: optimized geometry, PBE.

a = 4.822 Å, b = 5.614 Å, c = 4.822 Å
α = 90.00°, β = 90.00°, γ = 90.00°
Element x y z (fractional)
Y (0.000, 0.500, 0.000)
Sn (0.000, 0.000, 0.000)
Os (0.000, 0.000, 0.500)
Os (0.500, 0.000, 0.000)
P (0.500, 0.500, 0.500)

Formation energy from the elements ... 1814 meV/atom
Size of the total moment ... 1.45 μB per cell
Volume ... 26.11 A^3/atom
Mass density ... 7874 kg/m3
Space group ... No. 123
Fermi-level density of states ... 4.70 states/eV per cell